First-principles (PBE+U) data for an optimized crystal structure of SnTe2WO, as listed in Alexandria via LeMat-Bulk.

abc: 5.1919 5.3900 5.1919
angles: 90.00 90.00 90.00
Element x y z (fractional)
O 0.5000 0.5000 0.5000
Te 0.0000 0.0000 0.5000
Te 0.5000 0.0000 0.0000
Sn 0.0000 0.5000 0.0000
W 0.0000 0.0000 0.0000

Results
VASP energy: -17.2 eV per cell
D(E_F): 5.71 states/eV/cell
Space-group type: P4/mmm (123)